Record 1
Material: HfTi3Tc
Method: DFT, GGA-PBE
State: optimized geometry

Cell and atoms, written as CIF:
```
data_HfTi3Tc
_chemical_formula_sum 'Hf2 Ti6 Tc2'
_cell_length_a 6.625
_cell_length_b 6.625
_cell_length_c 5.311
_cell_angle_alpha 90.00
_cell_angle_beta 90.00
_cell_angle_gamma 128.57
_space_group_name_H-M_alt 'P 1'
_space_group_IT_number 1
loop_
_space_group_symop_operation_xyz
'x,y,z'
loop_
_atom_site_label
_atom_site_fract_x
_atom_site_fract_y
_atom_site_fract_z
Hf1 0.086 0.914 0.750
Hf2 0.914 0.086 0.250
Ti1 0.109 0.396 0.750
Ti2 0.323 0.677 0.250
Ti3 0.396 0.109 0.250
Ti4 0.604 0.891 0.750
Ti5 0.677 0.323 0.750
Ti6 0.891 0.604 0.250
Tc1 0.500 0.500 0.000
Tc2 0.500 0.500 0.500
```

distance to the lowest polymorph of the same formula	0	meV per atom
DFT total energy	-88.229	eV/cell
ΔH_f (0 K)	-0.02	eV per atom
symmetry	Cmcm
crystal system	orthorhombic

***

Record 2
Material: HfTi6Tc2
Method: DFT, GGA-PBE
State: optimized geometry

Cell and atoms, written as CIF:
```
data_HfTi6Tc2
_chemical_formula_sum 'Hf1 Ti6 Tc2'
_cell_length_a 5.415
_cell_length_b 5.415
_cell_length_c 9.778
_cell_angle_alpha 107.71
_cell_angle_beta 107.71
_cell_angle_gamma 33.96
_space_group_name_H-M_alt 'P 1'
_space_group_IT_number 1
loop_
_space_group_symop_operation_xyz
'x,y,z'
loop_
_atom_site_label
_atom_site_fract_x
_atom_site_fract_y
_atom_site_fract_z
Hf1 0.000 0.000 0.000
Ti1 0.015 0.015 0.331
Ti2 0.315 0.315 0.126
Ti3 0.323 0.323 0.429
Ti4 0.677 0.677 0.571
Ti5 0.685 0.685 0.874
Ti6 0.985 0.985 0.669
Tc1 0.334 0.334 0.773
Tc2 0.666 0.666 0.227
```

DFT total energy	-80.478	eV/cell
ΔH_f (0 K)	-0.27	eV per atom
symmetry	C2/m
crystal system	monoclinic

***

Record 3
Material: Hf2TiTc
Method: DFT, GGA-PBE
State: optimized geometry

Cell and atoms, written as CIF:
```
data_Hf2TiTc
_chemical_formula_sum 'Hf2 Ti1 Tc1'
_cell_length_a 3.266
_cell_length_b 3.266
_cell_length_c 7.003
_cell_angle_alpha 90.00
_cell_angle_beta 90.00
_cell_angle_gamma 90.00
_space_group_name_H-M_alt 'P 1'
_space_group_IT_number 1
loop_
_space_group_symop_operation_xyz
'x,y,z'
loop_
_atom_site_label
_atom_site_fract_x
_atom_site_fract_y
_atom_site_fract_z
Hf1 0.000 0.000 0.226
Hf2 0.000 0.000 0.774
Ti1 0.500 0.500 0.500
Tc1 0.500 0.500 0.000
```

distance to the lowest polymorph of the same formula	0	meV per atom
DFT total energy	-39.047	eV/cell
ΔH_f (0 K)	-0.22	eV per atom
symmetry	P4/mmm
crystal system	tetragonal

***

Record 4
Material: HfTiTc2
Method: DFT, GGA-PBE
State: optimized geometry

Cell and atoms, written as CIF:
```
data_HfTiTc2
_chemical_formula_sum 'Hf1 Ti1 Tc2'
_cell_length_a 4.513
_cell_length_b 4.513
_cell_length_c 3.187
_cell_angle_alpha 90.00
_cell_angle_beta 90.00
_cell_angle_gamma 90.00
_space_group_name_H-M_alt 'P 1'
_space_group_IT_number 1
loop_
_space_group_symop_operation_xyz
'x,y,z'
loop_
_atom_site_label
_atom_site_fract_x
_atom_site_fract_y
_atom_site_fract_z
Hf1 0.000 0.000 0.000
Ti1 0.500 0.500 0.000
Tc1 0.000 0.500 0.500
Tc2 0.500 0.000 0.500
```

DFT total energy	-40.370	eV/cell
ΔH_f (0 K)	-0.45	eV per atom
symmetry	P4/mmm
crystal system	tetragonal

***

Record 5
Material: HfTi3Tc2
Method: DFT, GGA-PBE
State: optimized geometry

Cell and atoms, written as CIF:
```
data_HfTi3Tc2
_chemical_formula_sum 'Hf1 Ti3 Tc2'
_cell_length_a 3.150
_cell_length_b 3.150
_cell_length_c 9.986
_cell_angle_alpha 90.00
_cell_angle_beta 90.00
_cell_angle_gamma 90.00
_space_group_name_H-M_alt 'P 1'
_space_group_IT_number 1
loop_
_space_group_symop_operation_xyz
'x,y,z'
loop_
_atom_site_label
_atom_site_fract_x
_atom_site_fract_y
_atom_site_fract_z
Hf1 0.000 0.000 0.000
Ti1 0.500 0.500 0.202
Ti2 0.500 0.500 0.500
Ti3 0.500 0.500 0.798
Tc1 0.000 0.000 0.342
Tc2 0.000 0.000 0.658
```

DFT total energy	-56.413	eV/cell
ΔH_f (0 K)	-0.34	eV per atom
symmetry	P4/mmm
crystal system	tetragonal

***

Record 6
Material: HfTi2Tc2
Method: DFT, GGA-PBE
State: optimized geometry

Cell and atoms, written as CIF:
```
data_HfTi2Tc2
_chemical_formula_sum 'Hf1 Ti2 Tc2'
_cell_length_a 8.511
_cell_length_b 8.511
_cell_length_c 3.158
_cell_angle_alpha 90.00
_cell_angle_beta 90.00
_cell_angle_gamma 158.05
_space_group_name_H-M_alt 'P 1'
_space_group_IT_number 1
loop_
_space_group_symop_operation_xyz
'x,y,z'
loop_
_atom_site_label
_atom_site_fract_x
_atom_site_fract_y
_atom_site_fract_z
Hf1 0.000 0.000 0.000
Ti1 0.182 0.818 0.000
Ti2 0.818 0.182 0.000
Tc1 0.397 0.603 0.500
Tc2 0.603 0.397 0.500
```

distance to the lowest polymorph of the same formula	0	meV per atom
DFT total energy	-47.795	eV/cell
ΔH_f (0 K)	-0.26	eV per atom
symmetry	Cmmm
crystal system	orthorhombic

***

Record 7
Material: HfTi3Tc
Method: DFT, GGA-PBE
State: optimized geometry

Cell and atoms, written as CIF:
```
data_HfTi3Tc
_chemical_formula_sum 'Hf1 Ti3 Tc1'
_cell_length_a 4.676
_cell_length_b 4.676
_cell_length_c 4.676
_cell_angle_alpha 90.00
_cell_angle_beta 90.00
_cell_angle_gamma 90.00
_space_group_name_H-M_alt 'P 1'
_space_group_IT_number 1
loop_
_space_group_symop_operation_xyz
'x,y,z'
loop_
_atom_site_label
_atom_site_fract_x
_atom_site_fract_y
_atom_site_fract_z
Hf1 0.000 0.000 0.000
Ti1 0.000 0.000 0.500
Ti2 0.000 0.500 0.000
Ti3 0.500 0.000 0.000
Tc1 0.500 0.500 0.500
```

distance to the lowest polymorph of the same formula	1567	meV per atom
DFT total energy	-36.279	eV/cell
ΔH_f (0 K)	1.54	eV per atom
symmetry	Pm-3m
crystal system	cubic

***

Record 8
Material: HfTiTc
Method: DFT, GGA-PBE
State: optimized geometry

Cell and atoms, written as CIF:
```
data_HfTiTc
_chemical_formula_sum 'Hf2 Ti2 Tc2'
_cell_length_a 5.283
_cell_length_b 5.283
_cell_length_c 5.283
_cell_angle_alpha 121.12
_cell_angle_beta 117.06
_cell_angle_gamma 91.62
_space_group_name_H-M_alt 'P 1'
_space_group_IT_number 1
loop_
_space_group_symop_operation_xyz
'x,y,z'
loop_
_atom_site_label
_atom_site_fract_x
_atom_site_fract_y
_atom_site_fract_z
Hf1 0.372 0.122 0.250
Hf2 0.628 0.878 0.750
Ti1 0.000 0.500 0.500
Ti2 0.500 0.500 0.000
Tc1 0.000 0.000 0.500
Tc2 0.000 0.500 0.000
```

distance to the lowest polymorph of the same formula	0	meV per atom
DFT total energy	-58.580	eV/cell
ΔH_f (0 K)	-0.36	eV per atom
symmetry	Imma
crystal system	orthorhombic

***

Record 9
Material: Hf3TiTc4
Method: DFT, GGA-PBE
State: optimized geometry

Cell and atoms, written as CIF:
```
data_Hf3TiTc4
_chemical_formula_sum 'Hf3 Ti1 Tc4'
_cell_length_a 3.227
_cell_length_b 3.227
_cell_length_c 12.896
_cell_angle_alpha 90.00
_cell_angle_beta 90.00
_cell_angle_gamma 90.00
_space_group_name_H-M_alt 'P 1'
_space_group_IT_number 1
loop_
_space_group_symop_operation_xyz
'x,y,z'
loop_
_atom_site_label
_atom_site_fract_x
_atom_site_fract_y
_atom_site_fract_z
Hf1 0.000 0.000 0.000
Hf2 0.000 0.000 0.255
Hf3 0.000 0.000 0.745
Ti1 0.000 0.000 0.500
Tc1 0.500 0.500 0.128
Tc2 0.500 0.500 0.383
Tc3 0.500 0.500 0.617
Tc4 0.500 0.500 0.872
```

DFT total energy	-82.894	eV/cell
ΔH_f (0 K)	-0.46	eV per atom
symmetry	P4/mmm
crystal system	tetragonal

***

Record 10
Material: Hf2TiTc3
Method: DFT, GGA-PBE
State: optimized geometry

Cell and atoms, written as CIF:
```
data_Hf2TiTc3
_chemical_formula_sum 'Hf2 Ti1 Tc3'
_cell_length_a 3.214
_cell_length_b 3.214
_cell_length_c 9.636
_cell_angle_alpha 90.00
_cell_angle_beta 90.00
_cell_angle_gamma 90.00
_space_group_name_H-M_alt 'P 1'
_space_group_IT_number 1
loop_
_space_group_symop_operation_xyz
'x,y,z'
loop_
_atom_site_label
_atom_site_fract_x
_atom_site_fract_y
_atom_site_fract_z
Hf1 0.000 0.000 0.171
Hf2 0.000 0.000 0.829
Ti1 0.000 0.000 0.500
Tc1 0.500 0.500 0.000
Tc2 0.500 0.500 0.343
Tc3 0.500 0.500 0.657
```

DFT total energy	-61.661	eV/cell
ΔH_f (0 K)	-0.46	eV per atom
symmetry	P4/mmm
crystal system	tetragonal